[1]
Density functional theory data (GGA-PBE) for a relaxed BaAg crystal.

The structure in POSCAR format:
```
BaAg
1.0
4.014 0.000 0.000
0.000 4.014 0.000
0.000 0.000 9.234
Ba Ag
2 2
direct
0.250 0.250 0.210
0.750 0.750 0.790
0.250 0.250 0.568
0.750 0.750 0.432
```

***

[2]
Density functional theory data (GGA-PBE) for a relaxed BaAg crystal.

The structure in POSCAR format:
```
BaAg
1.0
4.871 -0.081 -0.057
2.497 4.183 -0.057
2.497 1.390 3.946
Ba Ag
1 1
direct
0.500 0.500 0.500
0.000 0.000 0.000
```

***

[3]
Density functional theory data (GGA-PBE) for a relaxed Ba3Ag11 crystal.

The structure in POSCAR format:
```
Ba3Ag11
1.0
-4.073 -2.542 -0.404
2.148 -8.438 2.713
-2.714 -1.577 8.562
Ba Ag
3 11
direct
0.000 0.000 0.000
0.308 0.692 0.692
0.692 0.308 0.308
0.675 0.680 0.971
0.879 0.400 0.842
0.675 0.971 0.680
0.500 0.289 0.711
0.121 0.158 0.600
0.000 0.500 0.500
0.879 0.842 0.400
0.500 0.711 0.289
0.325 0.029 0.320
0.121 0.600 0.158
0.325 0.320 0.029
```

***

[4]
Density functional theory data (GGA-PBE) for a relaxed Ba8Ag crystal.

The structure in POSCAR format:
```
Ba8Ag
1.0
-2.261 0.398 -10.359
5.941 -2.580 8.404
-6.810 -7.954 1.714
Ba Ag
8 1
direct
0.355 0.645 0.000
0.645 0.355 0.000
0.000 0.337 0.337
0.645 0.645 0.291
0.337 0.000 0.337
0.355 0.355 0.709
0.000 0.663 0.663
0.663 0.000 0.663
0.000 0.000 0.000
```

***

[5]
Density functional theory data (GGA-PBE) for a relaxed Ba4Ag3 crystal.

The structure in POSCAR format:
```
Ba4Ag3
1.0
-3.672 0.851 4.429
-4.210 -3.867 1.071
3.258 -5.805 7.636
Ba Ag
4 3
direct
0.627 0.627 0.120
0.876 0.876 0.371
0.124 0.124 0.629
0.373 0.373 0.880
0.248 0.248 0.256
0.752 0.752 0.744
0.000 0.000 0.000
```

Relative energy among the computed polymorphs: 0.00 kcal/mol of atoms

***

[6]
Density functional theory data (GGA-PBE) for a relaxed BaAg2 crystal.

The structure in POSCAR format:
```
BaAg2
1.0
2.109 -10.059 0.000
2.109 10.059 0.000
0.000 0.000 4.464
Ba Ag
2 4
direct
0.115 0.885 0.250
0.885 0.115 0.750
0.460 0.540 0.250
0.540 0.460 0.750
0.751 0.249 0.250
0.249 0.751 0.750
```

***

[7]
Density functional theory data (GGA-PBE) for a relaxed BaAg2 crystal.

The structure in POSCAR format:
```
BaAg2
1.0
-1.663 -2.307 -5.529
-5.172 -3.177 2.881
-5.206 7.179 -1.430
Ba Ag
4 8
direct
0.250 0.748 0.396
0.750 0.752 0.896
0.250 0.248 0.104
0.750 0.252 0.604
0.250 0.998 0.750
0.750 0.502 0.250
0.250 0.498 0.750
0.750 0.002 0.250
0.250 0.248 0.489
0.750 0.252 0.989
0.250 0.748 0.011
0.750 0.752 0.511
```

***

[8]
Density functional theory data (GGA-PBE) for a relaxed Ba3Ag crystal.

The structure in POSCAR format:
```
Ba3Ag
1.0
-2.150 -2.301 3.208
1.766 -9.630 -5.723
7.005 -1.056 3.938
Ag Ba
2 6
direct
0.000 0.315 0.000
0.500 0.685 0.500
0.500 0.536 0.000
0.000 0.464 0.500
0.000 0.835 0.255
0.000 0.835 0.745
0.500 0.165 0.755
0.500 0.165 0.245
```

Relative energy among the computed polymorphs: 1.46 kcal/mol of atoms

***

[9]
Density functional theory data (GGA-PBE) for a relaxed Ba3Ag crystal.

The structure in POSCAR format:
```
Ba3Ag
1.0
4.427 0.000 0.000
0.000 4.291 0.000
0.000 0.000 11.358
Ba Ag
3 1
direct
0.000 0.500 0.459
0.500 0.500 0.119
0.500 0.000 0.765
0.000 0.000 0.990
```

Relative energy among the computed polymorphs: 3.05 kcal/mol of atoms

***

[10]
Density functional theory data (GGA-PBE) for a relaxed Ba3Ag crystal.

The structure in POSCAR format:
```
Ba3Ag
1.0
9.552 -0.023 0.000
-2.476 9.226 0.000
0.000 0.000 4.696
Ag Ba
2 6
direct
0.724 0.276 0.250
0.276 0.724 0.750
0.883 0.117 0.750
0.117 0.883 0.250
0.817 0.555 0.750
0.183 0.445 0.250
0.445 0.183 0.750
0.555 0.817 0.250
```

Relative energy among the computed polymorphs: 0.64 kcal/mol of atoms

***

In order of appearance, energy = -9.911, -5.111, -39.490, -18.092, -17.544, -15.699, -32.076, -17.762, -8.605, -18.044 eV/cell.